Record 1
Computed, not measured: a geometry-optimized DyErTh2Bi5 structure at the PBE level of DFT.

POSCAR file:
```
DyErTh2Bi5
1.0
5.3870 0.0000 0.0000
0.0000 5.3870 0.0000
0.0000 0.0000 11.7200
Dy Er Th Bi
1 1 2 5
direct
0.0000 0.0000 0.0000
0.0000 0.0000 0.5000
0.5000 0.5000 0.2967
0.5000 0.5000 0.7033
0.0000 0.5000 0.5000
0.5000 0.0000 0.5000
0.0000 0.0000 0.7525
0.0000 0.0000 0.2475
0.5000 0.5000 0.0000
```

Formation energy from the elements: 0.025 eV per atom
Symmetry: No. 123
Energy: -43.188 eV per cell
ρ: 8.98 g cm⁻³

Record 2
Computed, not measured: a geometry-optimized Dy2ErThBi4 structure at the PBE level of DFT.

POSCAR file:
```
Dy2ErThBi4
1.0
-2.1431 -3.6289 -1.6069
6.8196 -3.7079 -0.7216
1.5763 -3.8474 6.5861
Dy Er Th Bi
2 1 1 4
direct
0.0000 0.0000 0.0000
0.5000 0.0000 0.5000
0.0000 0.5000 0.5000
0.5000 0.5000 0.0000
0.0000 0.7556 0.7428
0.0000 0.2444 0.2572
0.5000 0.7514 0.2542
0.5000 0.2486 0.7458
```

Formation energy from the elements: -0.780 eV per atom
Symmetry: No. 10
Energy: -42.950 eV per cell
ρ: 10.04 g cm⁻³

Record 3
Computed, not measured: a geometry-optimized DyEr2ThBi5 structure at the PBE level of DFT.

POSCAR file:
```
DyEr2ThBi5
1.0
-0.8036 -5.3024 -1.9924
-0.3901 -1.9558 5.3623
-11.7815 1.8536 -0.1811
Dy Er Th Bi
1 2 1 5
direct
0.0000 0.0000 0.0000
0.5000 0.5000 0.2660
0.5000 0.5000 0.7340
0.0000 0.0000 0.5000
0.0000 0.5000 0.5000
0.5000 0.0000 0.5000
0.0000 0.0000 0.7585
0.0000 0.0000 0.2415
0.5000 0.5000 0.0000
```

Formation energy from the elements: 0.269 eV per atom
Symmetry: No. 123
Energy: -38.127 eV per cell
ρ: 7.55 g cm⁻³